Density functional theory data (PBE) for an optimized crystal structure of PrHo2Mg3CdIn2.

The structure in CIF format:
```
data_PrHo2Mg3CdIn2
_symmetry_space_group_name_H-M 'A m m 2'
_symmetry_Int_Tables_number 38
_symmetry_space_group_name_Hall 'A 2 -2'
_cell_length_a 4.679
_cell_length_b 13.262
_cell_length_c 7.495
_cell_angle_alpha 90.00
_cell_angle_beta 90.00
_cell_angle_gamma 90.00
loop_
_atom_site_label
_atom_site_type_symbol
_atom_site_fract_x
_atom_site_fract_y
_atom_site_fract_z
Pr1 Pr 0.000 0.000 0.000
Ho1 Ho 0.000 0.213 0.636
Mg1 Mg 0.500 0.000 0.668
Mg2 Mg 0.500 0.119 0.307
Cd1 Cd 0.000 0.000 0.437
In1 In 0.500 0.170 0.923
```

**Uncorrected energy**: -56.5 eV/cell